# 1
Material: Ge2BIr
Method: DFT, GGA-PBE
State: optimized geometry

Cell lengths 2.925, 5.650, 8.003 Å; angles 72.99, 89.94, 75.16 degrees
Fractional positions:
Ge: 0.488 0.724 0.574
Ge: 0.244 0.204 0.525
Ge: 0.335 0.025 0.138
Ge: 0.815 0.081 0.843
Ir: 0.577 0.543 0.315
Ir: 0.052 0.596 0.858
B: 0.555 0.588 0.044
B: 0.143 0.411 0.153

Calculated values
Symmetry: P1 (1)
DFT formation energy: 0.0230 eV per atom
Calculated total energy: -6.170 eV per atom
Calculated volume: 121.9 Å³ per cell

# 2
Material: Ge2BIr
Method: DFT, GGA-PBE
State: optimized geometry

Cell lengths 4.065, 4.976, 6.317 Å; angles 80.46, 84.94, 79.49 degrees
Fractional positions:
Ge: 0.387 0.262 0.502
Ge: 0.685 0.781 0.422
Ge: 0.051 0.755 0.788
Ge: 0.168 0.175 0.033
Ir: 0.607 0.452 0.826
Ir: 0.223 0.653 0.192
B: 0.753 0.577 0.105
B: 0.958 0.173 0.682

Calculated values
Symmetry: P1 (1)
DFT formation energy: 0.0584 eV per atom
Calculated total energy: -6.135 eV per atom
Calculated volume: 123.7 Å³ per cell

# 3
Material: Ge2BIr
Method: DFT, GGA-PBE
State: optimized geometry

Cell lengths 6.995, 2.903, 12.516 Å; angles 90.00, 109.79, 90.00 degrees
Fractional positions:
Ge: 0.366 0.000 0.352
Ge: 0.366 0.500 0.852
Ge: 0.560 0.000 0.169
Ge: 0.560 0.500 0.669
Ge: 0.774 0.000 0.032
Ge: 0.774 0.500 0.532
Ge: 0.134 0.000 0.459
Ge: 0.134 0.500 0.959
Ir: 0.841 0.000 0.822
Ir: 0.841 0.500 0.322
Ir: 0.164 0.000 0.142
Ir: 0.164 0.500 0.642
B: 0.031 0.000 0.720
B: 0.031 0.500 0.220
B: 0.679 0.000 0.389
B: 0.679 0.500 0.889

Calculated values
Symmetry: Cm (8)
DFT formation energy: 0.0847 eV per atom
Calculated total energy: -6.109 eV per atom
Calculated volume: 239.1 Å³ per cell

# 4
Material: Ge2BIr
Method: DFT, GGA-PBE
State: optimized geometry

Cell lengths 5.866, 3.435, 6.456 Å; angles 90.00, 103.64, 90.00 degrees
Fractional positions:
Ge: 0.326 0.250 0.584
Ge: 0.674 0.750 0.416
Ge: 0.005 0.250 0.814
Ge: 0.995 0.750 0.186
Ir: 0.334 0.250 0.180
Ir: 0.666 0.750 0.820
B: 0.526 0.250 0.942
B: 0.474 0.750 0.058

Calculated values
Symmetry: P2_1/m (11)
DFT formation energy: 0.0215 eV per atom
Calculated total energy: -6.172 eV per atom
Calculated volume: 126.4 Å³ per cell

# 5
Material: Ge2BIr
Method: DFT, GGA-PBE
State: optimized geometry

Cell lengths 2.939, 5.514, 7.830 Å; angles 107.61, 95.89, 91.79 degrees
Fractional positions:
Ge: 0.310 0.723 0.418
Ge: 0.724 0.349 0.500
Ge: 0.013 0.754 0.781
Ge: 0.672 0.090 0.170
Ir: 0.507 0.097 0.712
Ir: 0.135 0.677 0.085
B: 0.608 0.351 0.013
B: 0.068 0.336 0.872

Calculated values
Symmetry: P1 (1)
DFT formation energy: -0.0100 eV per atom
Calculated total energy: -6.203 eV per atom
Calculated volume: 120.1 Å³ per cell

# 6
Material: Ge2BIr
Method: DFT, GGA-PBE
State: optimized geometry

Cell lengths 2.945, 5.751, 7.483 Å; angles 71.40, 86.39, 85.25 degrees
Fractional positions:
Ge: 0.047 0.265 0.393
Ge: 0.264 0.648 0.498
Ge: 0.500 0.246 0.783
Ge: 0.812 0.880 0.192
Ir: 0.042 0.912 0.707
Ir: 0.566 0.340 0.091
B: 0.018 0.651 0.014
B: 0.542 0.680 0.870

Calculated values
Symmetry: P1 (1)
DFT formation energy: 0.0054 eV per atom
Calculated total energy: -6.188 eV per atom
Calculated volume: 119.6 Å³ per cell

Quick rundown of DOS at the Fermi energy, same order as above: 2.8, 0.9, 5.0, 2.7, 2.7, 2.5 states/eV per cell